The following is a PBE calculation of Hf8Sn3Sb2 after structural relaxation, from Alexandria via LeMat-Bulk.

The calculation puts the density of states at the Fermi level at 16.58 states/eV/cell. The magnetization comes out at 0.00 μB/atom. The value obtained for the total energy is -7.718 eV per atom. The uncorrected formation energy is -0.0353 eV per atom.

It has space group C2/m (No. 12), with a = 13.725 Å, b = 8.053 Å, c = 5.799 Å, α = 90.00°, β = 103.09° and γ = 90.00°. The distinct sites, in fractional coordinates, are Hf at (0.104, 0.000, 0.136), Hf at (0.120, 0.187, 0.663), Hf at (0.192, 0.500, 0.993), Sn at (0.000, 0.310, 0.000), Sn at (0.000, 0.500, 0.500) and Sb at (0.221, 0.500, 0.502).